(1)
{
  "formula": "Tb2ErAl3Si2Pd",
  "functional": "PBE",
  "state": "optimized geometry",
  "dft_energy_ev_per_cell": -48.2,
  "crystal_system": "orthorhombic",
  "sg": "Amm2 (38)",
  "lattice": [[4.2531, 0.0000, 0.0000], [0.0000, 5.9613, 3.4458], [0.0000, -5.9613, 3.4458]],
  "species": ["Tb", "Tb", "Er", "Al", "Al", "Al", "Si", "Si", "Pd"],
  "frac_coords": [[0.0000, 0.2088, 0.7912], [0.0000, 0.7912, 0.2088], [0.0000, 0.3734, 0.3734], [0.5000, 0.0297, 0.0297], [0.5000, 0.5517, 0.7898], [0.5000, 0.7898, 0.5517], [0.5000, 0.1263, 0.4564], [0.5000, 0.4564, 0.1263], [0.0000, 0.7872, 0.7872]]
}



(2)
{
  "formula": "TmReHg",
  "functional": "PBE",
  "state": "optimized geometry",
  "ef_ev_per_fu": 3.5,
  "crystal_system": "cubic",
  "sg": "F-43m (216)",
  "lattice": [[0.0000, 3.3563, 3.3563], [3.3563, 0.0000, 3.3563], [3.3563, 3.3563, 0.0000]],
  "species": ["Tm", "Re", "Hg"],
  "frac_coords": [[0.0000, 0.0000, 0.0000], [0.2500, 0.2500, 0.2500], [0.7500, 0.7500, 0.7500]]
}



(3)
{
  "formula": "CsNiAuSeS2",
  "functional": "PBE",
  "state": "optimized geometry",
  "dft_energy_ev_per_cell": -46.2,
  "crystal_system": "orthorhombic",
  "sg": "Cmcm (63)",
  "lattice": [[1.7485, -8.5672, 0.0000], [1.7485, 8.5672, 0.0000], [0.0000, 0.0000, 10.1380]],
  "species": ["Cs", "Cs", "Ni", "Ni", "Au", "Au", "Se", "Se", "S", "S", "S", "S"],
  "frac_coords": [[0.2248, 0.7752, 0.7500], [0.7752, 0.2248, 0.2500], [0.5000, 0.5000, 0.0000], [0.5000, 0.5000, 0.5000], [0.0959, 0.9041, 0.2500], [0.9041, 0.0959, 0.7500], [0.4560, 0.5440, 0.2500], [0.5440, 0.4560, 0.7500], [0.0870, 0.9130, 0.0200], [0.0870, 0.9130, 0.4800], [0.9130, 0.0870, 0.5200], [0.9130, 0.0870, 0.9800]]
}



no.,density (g/cm³),V (Å³ per atom)
1,6.9,19.41
2,12.2,25.21
3,5.8,25.31